Entry 1:
First-principles (PBE) data for crystalline ZrSe3 at its relaxed geometry, as listed in the Alexandria database.

a b c (Å): 3.910 4.043 12.080
angles (deg): 90.00 99.28 90.00
Atoms (fractional coordinates):
Zr 0.169 0.250 0.338
Zr 0.831 0.750 0.662
Se 0.088 0.750 0.175
Se 0.289 0.250 0.578
Se 0.413 0.750 0.828
Se 0.587 0.250 0.172
Se 0.711 0.750 0.422
Se 0.912 0.250 0.825

Values from the calculation:
VASP energy = -0.2070 hartree per atom

=====

Entry 2:
First-principles (PBE) data for crystalline ZrSe2 at its relaxed geometry, as listed in the Alexandria database.

a b c (Å): 6.612 6.612 6.612
angles (deg): 90.00 90.00 90.00
Atoms (fractional coordinates):
Zr 0.000 0.000 0.000
Zr 0.000 0.500 0.500
Zr 0.500 0.000 0.500
Zr 0.500 0.500 0.000
Se 0.250 0.250 0.250
Se 0.250 0.250 0.750
Se 0.250 0.750 0.250
Se 0.250 0.750 0.750
Se 0.750 0.250 0.250
Se 0.750 0.250 0.750
Se 0.750 0.750 0.250
Se 0.750 0.750 0.750

Values from the calculation:
VASP energy = -0.2272 hartree per atom

=====

Entry 3:
First-principles (PBE) data for crystalline Zr7Se6 at its relaxed geometry, as listed in the Alexandria database.

a b c (Å): 10.709 10.709 10.709
angles (deg): 31.78 31.78 31.78
Atoms (fractional coordinates):
Zr 0.000 0.000 0.000
Zr 0.072 0.072 0.576
Zr 0.072 0.576 0.072
Zr 0.424 0.928 0.928
Zr 0.576 0.072 0.072
Zr 0.928 0.424 0.928
Zr 0.928 0.928 0.424
Se 0.167 0.167 0.167
Se 0.312 0.312 0.312
Se 0.428 0.428 0.428
Se 0.572 0.572 0.572
Se 0.688 0.688 0.688
Se 0.833 0.833 0.833

Values from the calculation:
VASP energy = -0.2547 hartree per atom

=====

Entry 4:
First-principles (PBE) data for crystalline Zr4Se at its relaxed geometry, as listed in the Alexandria database.

a b c (Å): 6.249 6.249 6.249
angles (deg): 90.00 90.00 90.00
Atoms (fractional coordinates):
Zr 0.250 0.250 0.250
Zr 0.250 0.250 0.750
Zr 0.250 0.750 0.250
Zr 0.250 0.750 0.750
Zr 0.750 0.250 0.250
Zr 0.750 0.250 0.750
Zr 0.750 0.750 0.250
Zr 0.750 0.750 0.750
Se 0.000 0.000 0.000
Se 0.500 0.500 0.500

Values from the calculation:
relative energy among the computed polymorphs = 0.209 eV per atom

=====

| no. | M_tot (μB/atom) |
| --- | --- |
| 1 | 0.00 |
| 2 | 0.00 |
| 3 | 0.00 |
| 4 | 0.00 |